(1)
# TaReNF2

TaReNF2 after structural relaxation (GGA-PBE, the Alexandria database).

Total magnetic moment, Bohr magnetons per cell: 4.12
V, Å³ per cell: 72.0
Energy above the lowest structure with this stoichiometry, meV per atom: 0.0
E_tot, eV/cell: -36.46
ΔE_f (raw), meV per atom: -18.0

a = 4.202 Å, b = 4.202 Å, c = 4.076 Å
α = 90.00°, β = 90.00°, γ = 90.00°
Each line ends with the local moment (μB).
Sites, in units of the cell vectors:
Re 0.500 0.500 0.500  3.79
Ta 0.000 0.000 0.000  -0.49
F 0.500 0.000 0.000  0.05
F 0.000 0.500 0.000  0.05
N 0.000 0.000 0.500  0.05



(2)
# LiHgIr2

LiHgIr2 after structural relaxation (GGA-PBE, the Alexandria database).

Total magnetic moment, Bohr magnetons per cell: 0.00
E_form, eV/atom: 0.12
V, Å³ per cell: 63.5
E_tot, eV/cell: -19.48

a = 4.742 Å, b = 4.742 Å, c = 4.982 Å
α = 82.04°, β = 82.04°, γ = 34.93°
Sites, in units of the cell vectors:
Hg 0.254 0.254 0.284
Ir 0.004 0.004 0.942
Ir 0.743 0.743 0.786
Li 0.499 0.499 0.487



(3)
# Cd3Ru

Cd3Ru after structural relaxation (GGA-PBE, the Alexandria database).

Total magnetic moment, Bohr magnetons per cell: 3.49
E_form, eV/atom: 0.23
V, Å³ per cell: 302.2
E_tot, eV/cell: -44.39

a = 5.153 Å, b = 9.718 Å, c = 6.035 Å
α = 90.00°, β = 90.00°, γ = 90.00°
Each line ends with the local moment (μB).
Sites, in units of the cell vectors:
Cd 0.736 0.007 0.122  0.00
Cd 0.264 0.507 0.878  0.00
Cd 0.764 0.993 0.622  0.00
Cd 0.925 0.250 0.875  -0.01
Cd 0.425 0.250 0.625  -0.01
Cd 0.236 0.493 0.378  0.00
Cd 0.075 0.750 0.125  -0.01
Cd 0.575 0.750 0.375  -0.01
Cd 0.764 0.507 0.622  0.00
Cd 0.236 0.007 0.378  0.00
Cd 0.264 0.993 0.878  0.00
Cd 0.736 0.493 0.122  0.00
Ru 0.397 0.250 0.143  0.85
Ru 0.897 0.250 0.357  0.85
Ru 0.603 0.750 0.857  0.85
Ru 0.103 0.750 0.643  0.85



(4)
# LaPmSiAg

LaPmSiAg after structural relaxation (GGA-PBE, the Alexandria database).

Total magnetic moment, Bohr magnetons per cell: 0.00
V, Å³ per cell: 102.5
E_tot, eV/cell: -19.65
ΔE_f (raw), meV per atom: -423.6

a = 5.254 Å, b = 5.254 Å, c = 5.254 Å
α = 60.00°, β = 60.00°, γ = 60.00°
Sites, in units of the cell vectors:
La 0.500 0.500 0.500
Pm 0.000 0.000 0.000
Si 0.750 0.750 0.750
Ag 0.250 0.250 0.250



(5)
# In2MoAs

In2MoAs after structural relaxation (GGA-PBE, the Alexandria database).

Total magnetic moment, Bohr magnetons per cell: 0.00
E_form, eV/atom: 0.18
V, Å³ per cell: 84.0
E_tot, eV/cell: -20.25

a = 5.712 Å, b = 5.712 Å, c = 5.069 Å
α = 74.70°, β = 74.70°, γ = 31.88°
Sites, in units of the cell vectors:
In 0.785 0.785 0.677
In 0.990 0.990 0.033
Mo 0.528 0.528 0.528
As 0.197 0.197 0.263



(6)
# Nd4Sn2Hg5

Nd4Sn2Hg5 after structural relaxation (GGA-PBE, the Alexandria database).

Total magnetic moment, Bohr magnetons per cell: 0.00
E_form, eV/atom: -0.44
V, Å³ per cell: 309.8
E_tot, eV/cell: -33.48

a = 3.764 Å, b = 8.292 Å, c = 9.987 Å
α = 96.42°, β = 90.00°, γ = 90.00°
Sites, in units of the cell vectors:
Hg 0.000 0.844 0.853
Hg 0.000 0.458 0.690
Hg 0.000 0.500 0.000
Hg 0.000 0.542 0.310
Hg 0.000 0.156 0.147
Nd 0.500 0.264 0.425
Nd 0.500 0.736 0.575
Nd 0.500 0.806 0.112
Nd 0.500 0.194 0.888
Sn 0.000 0.922 0.364
Sn 0.000 0.078 0.636



(7)
# YEr2Zr

YEr2Zr after structural relaxation (GGA-PBE, the Alexandria database).

Total magnetic moment, Bohr magnetons per cell: 0.03
E_form, eV/atom: 0.07
V, Å³ per cell: 115.0
Energy above the lowest structure with this stoichiometry, meV per atom: 4.1
E_tot, eV/cell: -23.86

a = 3.454 Å, b = 3.454 Å, c = 11.312 Å
α = 81.23°, β = 81.23°, γ = 60.00°
Sites, in units of the cell vectors:
Zr 0.666 0.666 0.001
Y 0.500 0.500 0.499
Er 0.078 0.078 0.765
Er 0.255 0.255 0.235



(8)
# Na2La2Br7

Na2La2Br7 after structural relaxation (GGA-PBE, the Alexandria database).

Total magnetic moment, Bohr magnetons per cell: 1.12
V, Å³ per cell: 403.8
Energy above the lowest structure with this stoichiometry, meV per atom: 0.0
E_tot, eV/cell: -42.79
ΔE_f (raw), meV per atom: -1689.4

a = 7.737 Å, b = 7.319 Å, c = 7.319 Å
α = 80.41°, β = 83.29°, γ = 83.29°
Each line ends with the local moment (μB).
Sites, in units of the cell vectors:
La 0.998 0.276 0.276  0.36
La 0.002 0.724 0.724  0.36
Br 0.762 0.525 0.525  0.00
Br 0.743 0.024 0.528  0.00
Br 0.743 0.528 0.024  0.00
Br 0.257 0.976 0.472  0.00
Br 0.000 0.000 0.000  0.00
Br 0.257 0.472 0.976  0.00
Br 0.238 0.475 0.475  0.00
Na 0.500 0.717 0.283  0.00
Na 0.500 0.283 0.717  0.00